1:
The following is a meta-GGA SCAN calculation of LaY2Cr at its PBEsol-relaxed geometry, from Alexandria.

```
LaY2Cr
1.0
3.662 0.000 0.000
0.000 5.374 0.000
0.000 0.000 10.985
La Y Cr
2 4 2
Cartesian
0.000 0.000 0.000
1.831 2.687 5.492
0.000 0.000 4.623
0.000 2.687 2.303
1.831 0.000 7.796
1.831 2.687 10.115
0.000 2.687 7.812
1.831 0.000 2.320
```

As for the crystal system: orthorhombic. As for the density of states at the Fermi level: 7.3 states/eV/cell. The space group is Imm2.

2:
The following is a meta-GGA SCAN calculation of LaY2Cr at its PBEsol-relaxed geometry, from Alexandria.

```
LaY2Cr
1.0
7.544 0.000 0.000
0.000 7.544 0.000
0.000 0.000 7.544
La Y Cr
4 8 4
Cartesian
0.000 0.000 0.000
0.000 3.772 3.772
3.772 0.000 3.772
3.772 3.772 0.000
0.000 0.000 3.772
0.000 3.772 0.000
1.886 1.886 5.658
1.886 5.658 1.886
3.772 0.000 0.000
3.772 3.772 3.772
5.658 1.886 1.886
5.658 5.658 5.658
1.886 1.886 1.886
1.886 5.658 5.658
5.658 1.886 5.658
5.658 5.658 1.886
```

As for the crystal system: cubic. As for the density of states at the Fermi level: 17.6 states/eV/cell. The space group is F-43m.

1 (7.9 kJ/mol of atoms below the next structure)

1:
The following is a meta-GGA SCAN calculation of LiCr at its PBEsol-relaxed geometry, from Alexandria.

```
LiCr
1.0
2.778 0.000 0.000
0.000 2.778 0.000
0.000 0.000 4.293
Li Cr
1 1
Cartesian
0.000 0.000 0.000
1.389 1.389 2.146
```

As for the crystal system: tetragonal. As for the density of states at the Fermi level: 1.2 states/eV/cell. The space group is P4/mmm.

2:
The following is a meta-GGA SCAN calculation of LiCr at its PBEsol-relaxed geometry, from Alexandria.

```
LiCr
1.0
10.958 0.000 0.000
0.000 2.517 0.000
-1.078 0.000 5.538
Li Cr
6 6
Cartesian
0.000 0.000 0.000
-0.035 0.000 3.439
4.106 0.000 1.690
5.479 1.258 0.000
5.444 1.258 3.439
9.585 1.258 1.690
1.841 1.258 1.813
1.434 1.258 5.472
2.506 0.000 3.814
7.320 0.000 1.813
6.913 0.000 5.472
7.985 1.258 3.814
```

As for the crystal system: monoclinic. As for the density of states at the Fermi level: 6.6 states/eV/cell. The space group is Cm.

1 (2.5 kJ/mol of atoms below the next structure)

1:
The following is a meta-GGA SCAN calculation of Li5MnCr3O8 at its PBEsol-relaxed geometry, from Alexandria.

```
Li5MnCr3O8
1.0
5.892 0.000 0.000
-2.946 5.102 0.000
0.000 0.000 9.741
Li Mn Cr O
10 2 6 16
Cartesian
0.000 0.000 0.000
0.000 0.000 4.871
0.000 1.999 0.747
-1.215 4.103 0.747
0.000 3.402 2.846
1.731 1.000 5.618
1.215 4.103 0.747
2.946 1.701 7.717
4.161 1.000 5.618
2.946 3.103 5.618
0.000 3.402 5.275
2.946 1.701 0.404
0.000 1.711 7.812
-1.464 4.247 7.812
1.482 0.856 2.941
1.464 4.247 7.812
4.410 0.856 2.941
2.946 3.391 2.941
0.000 0.000 1.872
0.000 0.000 6.743
-1.416 2.584 6.689
0.000 1.633 4.055
-1.531 4.286 4.055
1.415 0.817 8.926
0.000 3.402 8.914
1.416 2.584 6.689
0.000 5.037 6.689
2.946 0.065 1.819
1.529 2.519 1.819
2.946 1.701 4.043
1.531 4.286 4.055
4.477 0.817 8.926
2.946 3.469 8.926
4.362 2.519 1.819
```

As for the crystal system: hexagonal. The space group is P6_3mc.

2:
The following is a meta-GGA SCAN calculation of Li5MnCr3O8 at its PBEsol-relaxed geometry, from Alexandria.

```
Li5MnCr3O8
1.0
2.925 1.689 4.735
-2.925 1.689 4.735
0.000 -3.378 4.735
Li Mn Cr O
5 1 3 8
Cartesian
-2.925 0.000 7.103
-1.463 0.844 2.368
0.000 0.000 0.984
1.463 0.844 2.368
0.000 0.000 13.222
0.000 0.000 7.103
-1.463 -0.844 4.735
-1.463 0.844 9.471
0.000 1.689 4.735
0.000 0.000 3.640
0.000 -1.580 5.905
-1.368 0.790 5.905
-1.368 -0.790 8.301
1.368 0.790 5.905
1.368 -0.790 8.301
0.000 1.580 8.301
0.000 0.000 10.566
```

As for the crystal system: trigonal. As for the density of states at the Fermi level: 2.8 states/eV/cell. The space group is R-3m.

1 (9.4 kJ/mol of atoms below the next structure)

1:
The following is a meta-GGA SCAN calculation of Li2Mn2CrO6 at its PBEsol-relaxed geometry, from Alexandria.

```
Li2Mn2CrO6
1.0
2.571 -4.279 0.000
2.571 4.279 0.000
0.000 0.000 10.011
Li Mn Cr O
4 4 2 12
Cartesian
0.626 0.000 0.000
1.890 0.000 5.006
3.251 0.000 0.000
4.515 0.000 5.006
2.571 3.577 2.503
2.571 0.780 2.503
2.571 -0.780 7.508
2.571 -3.577 7.508
2.571 2.133 7.508
2.571 -2.133 2.503
0.668 0.658 3.620
1.713 2.171 1.545
0.668 -0.658 6.391
1.710 0.646 8.514
1.710 -0.646 1.497
3.429 2.171 3.460
1.713 -2.171 8.466
3.432 0.646 6.502
3.432 -0.646 3.509
4.474 0.658 1.386
3.429 -2.171 6.551
4.474 -0.658 8.625
```

As for the crystal system: orthorhombic. The space group is C222_1.

2:
The following is a meta-GGA SCAN calculation of Li2Mn2CrO6 at its PBEsol-relaxed geometry, from Alexandria.

```
Li2Mn2CrO6
1.0
10.062 0.000 0.000
0.000 2.605 4.268
0.000 -2.605 4.268
Li Mn Cr O
4 4 2 12
Cartesian
2.245 -1.596 4.268
2.786 1.009 4.268
7.276 -1.009 4.268
7.817 1.596 4.268
0.000 0.000 4.300
0.000 0.000 7.128
5.031 0.000 0.033
5.031 0.000 2.861
0.000 0.000 1.456
5.031 0.000 5.723
0.958 -0.915 2.920
0.963 -0.870 5.688
1.122 1.963 4.248
3.909 -0.643 4.248
4.068 1.735 5.688
4.073 1.690 2.920
5.989 -1.690 2.920
5.994 -1.735 5.688
6.153 0.643 4.248
8.940 -1.963 4.248
9.098 0.870 5.688
9.104 0.915 2.920
```

As for the crystal system: orthorhombic. The space group is Aea2.

2 (1.6 kJ/mol of atoms below the next structure)

1:
The following is a meta-GGA SCAN calculation of LiCrMo2 at its PBEsol-relaxed geometry, from Alexandria.

```
LiCrMo2
1.0
2.463 0.000 0.000
0.000 4.288 0.000
0.000 0.000 5.202
Li Cr Mo
1 1 2
Cartesian
0.000 0.000 0.000
1.232 2.144 3.938
0.000 0.000 2.658
1.232 2.144 1.244
```

As for the crystal system: orthorhombic. As for the density of states at the Fermi level: 2.8 states/eV/cell. The space group is Pmm2.

2:
The following is a meta-GGA SCAN calculation of LiCrMo2 at its PBEsol-relaxed geometry, from Alexandria.

```
LiCrMo2
1.0
5.257 0.000 0.000
0.000 8.365 0.000
0.000 0.000 2.488
Li Cr Mo
2 2 4
Cartesian
0.000 0.000 0.000
2.629 4.183 0.000
0.000 4.183 0.000
2.629 0.000 0.000
1.314 2.091 1.244
1.314 6.274 1.244
3.943 2.091 1.244
3.943 6.274 1.244
```

As for the crystal system: orthorhombic. As for the density of states at the Fermi level: 5.4 states/eV/cell. The space group is Cmmm.

2 (1.3 kJ/mol of atoms below the next structure)

1:
The following is a meta-GGA SCAN calculation of Li2NbCr3O8 at its PBEsol-relaxed geometry, from Alexandria.

```
Li2NbCr3O8
1.0
2.952 1.704 4.808
-2.952 1.704 4.808
0.000 -3.409 4.808
Li Nb Cr O
2 1 3 8
Cartesian
0.000 0.000 1.827
0.000 0.000 12.597
0.000 0.000 7.212
-1.476 -0.852 4.808
-1.476 0.852 9.617
0.000 1.704 4.808
0.000 -1.570 5.946
-1.360 0.785 5.946
0.000 0.000 3.826
-1.360 -0.785 8.479
1.360 0.785 5.946
0.000 0.000 10.599
1.360 -0.785 8.479
0.000 1.570 8.479
```

As for the crystal system: trigonal. The space group is R-3m.

2:
The following is a meta-GGA SCAN calculation of Li2NbCr3O8 at its PBEsol-relaxed geometry, from Alexandria.

```
Li2NbCr3O8
1.0
5.857 0.000 0.000
-2.929 5.073 0.000
0.000 0.000 9.452
Li Nb Cr O
4 2 6 16
Cartesian
0.000 0.000 0.000
0.000 0.000 4.726
0.000 3.382 0.894
2.929 1.691 5.620
0.000 3.382 4.747
2.929 1.691 0.021
0.000 1.718 7.367
-1.441 4.214 7.367
1.488 0.859 2.641
1.441 4.214 7.367
4.370 0.859 2.641
2.929 3.355 2.641
0.000 0.000 1.758
0.000 0.000 6.484
-1.300 2.631 6.204
0.000 1.677 3.761
-1.476 4.234 3.761
1.453 0.839 8.486
0.000 3.382 8.375
1.300 2.631 6.204
0.000 4.883 6.204
2.929 0.190 1.479
1.628 2.442 1.479
2.929 1.691 3.649
1.476 4.234 3.761
4.405 0.839 8.486
2.929 3.395 8.486
4.229 2.442 1.479
```

As for the crystal system: hexagonal. The space group is P6_3mc.

2 (3.2 kJ/mol of atoms below the next structure)